No. 1
! RbSe PBE relaxed; values from VASP
! - DOS at the Fermi energy: 0.08 states/eV/atom
! - Magnetization: 0.00 μB/cell
! - Formation energy without anion corrections: -0.760 eV/atom
! - E_tot: -2.99 eV per atom
&SYSTEM
  ibrav = 0, nat = 12, ntyp = 2
/
ATOMIC_SPECIES
Rb 85.47 Rb.upf
Se 78.96 Se.upf
CELL_PARAMETERS angstrom
11.7732 0.0000 0.0000
-5.8866 10.1959 0.0000
0.0000 0.0000 5.1647
ATOMIC_POSITIONS crystal
Rb 0.2174 0.4348 0.2500
Rb 0.2174 0.7826 0.2500
Rb 0.4348 0.2174 0.7500
Rb 0.5652 0.7826 0.2500
Rb 0.7826 0.2174 0.7500
Rb 0.7826 0.5652 0.7500
Se 0.0413 0.5207 0.7500
Se 0.4793 0.5207 0.7500
Se 0.4793 0.9587 0.7500
Se 0.5207 0.0413 0.2500
Se 0.5207 0.4793 0.2500
Se 0.9587 0.4793 0.2500

***

No. 2
! RbSe PBE relaxed; values from VASP
! - DOS at the Fermi energy: 0.61 states/eV/atom
! - Magnetization: 0.00 μB/cell
! - Formation energy without anion corrections: -0.842 eV/atom
! - E_tot: -3.07 eV per atom
&SYSTEM
  ibrav = 0, nat = 4, ntyp = 2
/
ATOMIC_SPECIES
Rb 85.47 Rb.upf
Se 78.96 Se.upf
CELL_PARAMETERS angstrom
5.2693 0.0000 0.0000
0.0000 5.2572 0.0000
-2.6279 0.0000 5.5728
ATOMIC_POSITIONS crystal
Rb 0.1435 0.2500 0.2880
Rb 0.8565 0.7500 0.7120
Se 0.4613 0.2500 0.9224
Se 0.5387 0.7500 0.0776

***

No. 3
! RbSe5 PBE relaxed; values from VASP
! - DOS at the Fermi energy: 0.26 states/eV/atom
! - Magnetization: 0.00 μB/cell
! - Formation energy without anion corrections: -0.286 eV/atom
! - E_tot: -3.35 eV per atom
&SYSTEM
  ibrav = 0, nat = 12, ntyp = 2
/
ATOMIC_SPECIES
Rb 85.47 Rb.upf
Se 78.96 Se.upf
CELL_PARAMETERS angstrom
4.2524 0.0000 0.0000
0.0000 13.1224 0.0000
-1.1234 0.0000 7.2219
ATOMIC_POSITIONS crystal
Rb 0.2118 0.2500 0.4275
Rb 0.7882 0.7500 0.5725
Se 0.2058 0.5989 0.0679
Se 0.2058 0.9011 0.0679
Se 0.2424 0.5459 0.3834
Se 0.2424 0.9541 0.3834
Se 0.4756 0.2500 0.9431
Se 0.5244 0.7500 0.0569
Se 0.7576 0.0459 0.6166
Se 0.7576 0.4541 0.6166
Se 0.7942 0.0989 0.9321
Se 0.7942 0.4011 0.9321

***

Among the records above, which one has the lowest E_tot?
RbSe5